(1)
The following is a PBE-GGA calculation of Cu6MoW after structural relaxation, from OQMD via LeMat-Bulk.

Lattice parameters (Å, degrees): 4.2227 5.3738 4.5009 90.00 90.00 90.00
Last column: magnetic moment on the atom in μB.
Fractional coordinates of all 8 atoms:
Cu  0.5000  0.5000  0.1842  0.00
Cu  0.0000  0.2503  0.3398  0.00
Cu  0.0000  0.7497  0.3398  0.00
Cu  0.5000  0.2526  0.6616  0.00
Cu  0.5000  0.7474  0.6616  0.00
Cu  0.0000  0.0000  0.8119  0.00
Mo  0.5000  0.0000  0.1514  0.06
W  0.0000  0.5000  0.8498  0.02

Values from the calculation:
* mass density: 10.75 g/cm3
* energy: -42.922 eV per cell



(2)
The following is a PBE-GGA calculation of PmAl2Ni after structural relaxation, from OQMD via LeMat-Bulk.

Lattice parameters (Å, degrees): 5.7329 5.7329 6.9174 90.00 90.00 138.44
Fractional coordinates of all 8 atoms:
Al  0.6663  0.3337  0.0564
Al  0.6663  0.3337  0.4436
Al  0.3337  0.6663  0.5564
Al  0.3337  0.6663  0.9436
Ni  0.2180  0.7820  0.2500
Ni  0.7820  0.2180  0.7500
Pm  0.9439  0.0561  0.2500
Pm  0.0561  0.9439  0.7500

Values from the calculation:
* mass density: 5.67 g/cm3
* energy: -40.441 eV per cell



(3)
The following is a PBE-GGA calculation of BaPaAg after structural relaxation, from OQMD via LeMat-Bulk.

Lattice parameters (Å, degrees): 5.2866 5.2866 5.2866 60.00 60.00 60.00
Last column: magnetic moment on the atom in μB.
Fractional coordinates of all 3 atoms:
Ag  0.0000  0.0000  0.0000  0.06
Ba  0.2500  0.2500  0.2500  0.20
Pa  0.7500  0.7500  0.7500  1.90

Values from the calculation:
* mass density: 7.57 g/cm3
* distance to the lowest polymorph of the same formula: 0.000 eV/atom



(4)
The following is a PBE-GGA calculation of TaZnFePd after structural relaxation, from OQMD via LeMat-Bulk.

Lattice parameters (Å, degrees): 4.3398 4.3398 4.3398 60.00 60.00 60.00
Fractional coordinates of all 4 atoms:
Fe  0.7500  0.7500  0.7500
Pd  0.2500  0.2500  0.2500
Ta  0.5000  0.5000  0.5000
Zn  0.0000  0.0000  0.0000

Values from the calculation:
* mass density: 11.74 g/cm3
* distance to the lowest polymorph of the same formula: 0.000 eV/atom



(5)
The following is a PBE-GGA calculation of YAgGeTeS2 after structural relaxation, from OQMD via LeMat-Bulk.

Lattice parameters (Å, degrees): 6.9281 6.9281 11.2069 90.00 90.00 146.86
Fractional coordinates of all 12 atoms:
Ag  0.9789  0.0211  0.2500
Ag  0.0211  0.9789  0.7500
Ge  0.2957  0.7043  0.2500
Ge  0.7043  0.2957  0.7500
S  0.8685  0.1315  0.0694
S  0.8685  0.1315  0.4306
S  0.1315  0.8685  0.5694
S  0.1315  0.8685  0.9306
Te  0.6304  0.3696  0.2500
Te  0.3696  0.6304  0.7500
Y  0.5000  0.5000  0.0000
Y  0.5000  0.5000  0.5000

Values from the calculation:
* mass density: 5.21 g/cm3
* energy: -59.242 eV per cell



(6)
The following is a PBE-GGA calculation of AlZnFeAg after structural relaxation, from OQMD via LeMat-Bulk.

Lattice parameters (Å, degrees): 4.3731 4.3731 4.3731 60.00 60.00 60.00
Fractional coordinates of all 4 atoms:
Ag  0.5000  0.5000  0.5000
Al  0.0000  0.0000  0.0000
Fe  0.7500  0.7500  0.7500
Zn  0.2500  0.2500  0.2500

Values from the calculation:
* mass density: 7.19 g/cm3
* distance to the lowest polymorph of the same formula: 0.100 eV/atom



Calculated volume? In order: 102.1; 75.4; 104.5; 57.8; 147.0; 59.1 Å³/f.u..